Entry 1:
An optimized crystal structure of NaCrTe2N, computed with PBE.

The total energy is -0.278 Ry/atom. Its crystal system is tetragonal. The energy above the most stable polymorph in this dataset comes out at 1461 meV per atom.

The space group is P4/mmm (No. 123) and the conventional cell measures 5.590, 5.590 and 4.226 Å, with angles of 90.00, 90.00 and 90.00 degrees. The distinct sites, in fractional coordinates, are Na at (0.000, 0.000, 0.000), Cr at (0.500, 0.500, 0.500), Te at (0.000, 0.500, 0.000) and N at (0.000, 0.000, 0.500).

---

Entry 2:
An optimized crystal structure of Cs2NaPtPb, computed with PBE.

For the formation energy, the calculation gives -0.06 eV/f.u. The total energy is -0.189 Ry/atom. Its crystal system is tetragonal.

The space group is P4/mmm (No. 123) and the conventional cell measures 6.847, 6.847 and 5.289 Å, with angles of 90.00, 90.00 and 90.00 degrees. The distinct sites, in fractional coordinates, are Cs at (0.000, 0.500, 0.000), Na at (0.000, 0.000, 0.500), Pt at (0.500, 0.500, 0.000) and Pb at (0.500, 0.500, 0.500).